## HfSn3Os (GGA-PBE)

Data for crystalline HfSn3Os at its relaxed geometry.

**Distance to the lowest polymorph of the same formula**: 0 meV/atom
**DFT total energy**: -5.866 eV per atom
**Total magnetization**: 0.176 Bohr magnetons per cell
**Energy of formation from the pure elements**: 0.772 eV/atom

abc: 5.1119 5.1119 5.1119
angles: 90.00 90.00 90.00
Space group Pm-3m (No. 221)
One atom of each set of equivalent atoms:
Hf 0.0000 0.0000 0.0000
Sn 0.0000 0.5000 0.5000
Os 0.5000 0.5000 0.5000